Entry 1:
## Li5Tl4Cd2 (PBE)

Data for an optimized crystal structure of Li5Tl4Cd2.

Lattice parameters (Å, degrees): 3.3281 7.8035 18.1346 90.00 90.00 90.00
With the nearest neighbours (Å) after each atom.
Positions (direct):
Tl 0.5000 0.2010 0.4424  8 Li 2.94-3.10, 1 Cd 3.11
Tl 0.5000 0.7990 0.5576  8 Li 2.94-3.10, 1 Cd 3.11
Tl 0.5000 0.9055 0.8566  6 Li 3.03-3.17, 2 Cd 3.05-3.08, 2 Tl 3.33
Tl 0.5000 0.5945 0.3566  6 Li 3.03-3.17, 2 Cd 3.05-3.08, 2 Tl 3.33
Tl 0.5000 0.4055 0.6434  6 Li 3.03-3.17, 2 Cd 3.05-3.08, 2 Tl 3.33
Tl 0.5000 0.7010 0.0576  8 Li 2.94-3.10, 1 Cd 3.11
Tl 0.5000 0.2990 0.9424  8 Li 2.94-3.10, 1 Cd 3.11
Tl 0.5000 0.0945 0.1434  6 Li 3.03-3.17, 2 Cd 3.05-3.08, 2 Tl 3.33
Li 0.0000 0.8746 0.4277  2 Cd 2.91, 6 Tl 2.94-3.05, 1 Li 3.20
Li 0.0000 0.6254 0.9277  2 Cd 2.91, 6 Tl 2.94-3.05, 1 Li 3.20
Li 0.0000 0.1254 0.5723  2 Cd 2.91, 6 Tl 2.94-3.05, 1 Li 3.20
Li 0.0000 0.2786 0.3019  4 Cd 2.93, 4 Tl 3.10-3.14
Li 0.0000 0.7214 0.6981  4 Cd 2.93, 4 Tl 3.10-3.14
Li 0.0000 0.3746 0.0723  2 Cd 2.91, 6 Tl 2.94-3.05, 1 Li 3.20
Li 0.0000 0.5000 0.5000  8 Tl 3.05-3.17, 4 Li 3.20-3.33
Li 0.0000 0.2214 0.8019  4 Cd 2.93, 4 Tl 3.10-3.14
Li 0.0000 0.0000 0.0000  8 Tl 3.05-3.17, 4 Li 3.20-3.33
Li 0.0000 0.7786 0.1981  4 Cd 2.93, 4 Tl 3.10-3.14
Cd 0.5000 0.0307 0.6974  6 Li 2.91-2.93, 3 Tl 3.05-3.11
Cd 0.5000 0.9693 0.3026  6 Li 2.91-2.93, 3 Tl 3.05-3.11
Cd 0.5000 0.4693 0.1974  6 Li 2.91-2.93, 3 Tl 3.05-3.11
Cd 0.5000 0.5307 0.8026  6 Li 2.91-2.93, 3 Tl 3.05-3.11

Output
Space-group type: No. 55
Total DFT energy (no corrections) (eV per formula unit): -23.01
Energy of formation from the pure elements (kcal/mol of atoms): -4.5

***

Entry 2:
## Dy4Th3 (PBE)

Data for an optimized crystal structure of Dy4Th3.

Lattice parameters (Å, degrees): 5.0398 6.1920 7.9298 82.49 90.00 114.01
With the nearest neighbours (Å) after each atom.
Positions (direct):
Th 0.0000 0.0000 0.0000  6 Dy 3.52-3.53, 6 Th 3.55-3.57
Th 0.2868 0.5736 0.1378  7 Dy 3.46-3.61, 5 Th 3.51-3.57
Th 0.7132 0.4264 0.8622  7 Dy 3.46-3.61, 5 Th 3.51-3.57
Dy 0.1439 0.2879 0.5753  4 Th 3.52-3.61, 8 Dy 3.56-3.63
Dy 0.8561 0.7121 0.4247  4 Th 3.52-3.61, 8 Dy 3.56-3.63
Dy 0.5727 0.1453 0.2795  6 Th 3.46-3.57, 6 Dy 3.56-3.64
Dy 0.4273 0.8547 0.7205  6 Th 3.46-3.57, 6 Dy 3.56-3.64

Output
Space-group type: No. 12
Offset from the most stable computed form (meV/atom): 0.0
Total DFT energy (no corrections) (eV per formula unit): -40.43
Energy of formation from the pure elements (kcal/mol of atoms): 0.8

***

Entry 3:
## Cr2PbCl (PBE)

Data for an optimized crystal structure of Cr2PbCl.

Lattice parameters (Å, degrees): 4.4291 4.4291 7.2559 84.60 84.60 41.95
With the nearest neighbours (Å) after each atom.
Positions (direct):
Cr 0.2737 0.2737 0.1583  3 Cr 2.47-2.55, 2 Cl 2.65
Cr 0.9912 0.9912 0.0468  3 Cr 2.47-2.55, 3 Cl 2.66-2.67
Cl 0.7189 0.7189 0.8789  5 Cr 2.65-2.67
Pb 0.5161 0.5161 0.4160  5 Cr 2.88-3.14, 2 Pb 3.17

Output
Space-group type: No. 8
Offset from the most stable computed form (meV/atom): 215.0
Total DFT energy (no corrections) (eV per formula unit): -23.68
ΔE_f (raw) (eV per atom): 0.281

***

Listing spin magnetization for the structures above in their given order: 0.0; 0.0; 0.1 μB per formula unit.